(1)
This record from Alexandria via LeMat-Bulk describes an optimized crystal structure of BaGaHI2. The functional is PBE.

The structure in CIF format:
```
data_BaGaHI2
_cell_length_a 6.0873
_cell_length_b 6.0873
_cell_length_c 4.4595
_cell_angle_alpha 90.00
_cell_angle_beta 90.00
_cell_angle_gamma 90.00
_symmetry_space_group_name_H-M 'P 1'
_symmetry_Int_Tables_number 1
loop_
_symmetry_equiv_pos_as_xyz
'x,y,z'
loop_
_atom_site_label
_atom_site_type_symbol
_atom_site_fract_x
_atom_site_fract_y
_atom_site_fract_z
Ba1 Ba 0.0000 0.0000 0.0000
Ga1 Ga 0.5000 0.5000 0.0000
H1 H 0.0000 0.0000 0.5000
I1 I 0.0000 0.5000 0.5000
I2 I 0.5000 0.0000 0.5000
```

Results
The size of the total moment is 0.000 μB/atom. The value obtained for the density of states at the Fermi level is 0.32 states/eV/atom. For the uncorrected energy, the calculation gives -14.0 eV/f.u.

=====

(2)
This record from Alexandria via LeMat-Bulk describes an optimized crystal structure of TmZrRh5. The functional is PBE.

The structure in CIF format:
```
data_TmZrRh5
_cell_length_a 3.9657
_cell_length_b 3.9657
_cell_length_c 7.9823
_cell_angle_alpha 90.00
_cell_angle_beta 90.00
_cell_angle_gamma 90.00
_symmetry_space_group_name_H-M 'P 1'
_symmetry_Int_Tables_number 1
loop_
_symmetry_equiv_pos_as_xyz
'x,y,z'
loop_
_atom_site_label
_atom_site_type_symbol
_atom_site_fract_x
_atom_site_fract_y
_atom_site_fract_z
Tm1 Tm 0.0000 0.0000 0.0000
Zr1 Zr 0.5000 0.5000 0.5000
Rh1 Rh 0.0000 0.0000 0.5000
Rh2 Rh 0.0000 0.5000 0.2577
Rh3 Rh 0.0000 0.5000 0.7423
Rh4 Rh 0.5000 0.0000 0.2577
Rh5 Rh 0.5000 0.0000 0.7423
```

Results
The calculation puts the formation enthalpy at 0 K at -412 meV per atom. The size of the total moment is 0.000 μB/atom. The value obtained for the density of states at the Fermi level is 1.08 states/eV/atom. For the uncorrected energy, the calculation gives -52.7 eV/f.u.

=====

(3)
This record from Alexandria via LeMat-Bulk describes an optimized crystal structure of Hg2PdRu. The functional is PBE.

The structure in CIF format:
```
data_Hg2PdRu
_cell_length_a 4.6467
_cell_length_b 4.6467
_cell_length_c 4.6467
_cell_angle_alpha 60.00
_cell_angle_beta 60.00
_cell_angle_gamma 60.00
_symmetry_space_group_name_H-M 'P 1'
_symmetry_Int_Tables_number 1
loop_
_symmetry_equiv_pos_as_xyz
'x,y,z'
loop_
_atom_site_label
_atom_site_type_symbol
_atom_site_fract_x
_atom_site_fract_y
_atom_site_fract_z
Hg1 Hg 0.2500 0.2500 0.2500
Hg2 Hg 0.7500 0.7500 0.7500
Pd1 Pd 0.0000 0.0000 0.0000
Ru1 Ru 0.5000 0.5000 0.5000
```

Results
The calculation puts the formation enthalpy at 0 K at 320 meV per atom. The size of the total moment is 0.200 μB/atom. The distance to the lowest polymorph of the same formula comes out at 0 meV per atom. The value obtained for the density of states at the Fermi level is 1.02 states/eV/atom. For the uncorrected energy, the calculation gives -13.8 eV/f.u.

=====

(4)
This record from Alexandria via LeMat-Bulk describes an optimized crystal structure of BaIn2Ni. The functional is PBE.

The structure in CIF format:
```
data_BaIn2Ni
_cell_length_a 5.2928
_cell_length_b 5.2928
_cell_length_c 5.2928
_cell_angle_alpha 60.00
_cell_angle_beta 60.00
_cell_angle_gamma 60.00
_symmetry_space_group_name_H-M 'P 1'
_symmetry_Int_Tables_number 1
loop_
_symmetry_equiv_pos_as_xyz
'x,y,z'
loop_
_atom_site_label
_atom_site_type_symbol
_atom_site_fract_x
_atom_site_fract_y
_atom_site_fract_z
Ba1 Ba 0.0000 0.0000 0.0000
In1 In 0.5000 0.5000 0.5000
In2 In 0.7500 0.7500 0.7500
Ni1 Ni 0.2500 0.2500 0.2500
```

Results
The calculation puts the formation enthalpy at 0 K at 81 meV per atom. The size of the total moment is 0.001 μB/atom. The value obtained for the density of states at the Fermi level is 0.92 states/eV/atom. For the uncorrected energy, the calculation gives -12.9 eV/f.u.

=====

(5)
This record from Alexandria via LeMat-Bulk describes an optimized crystal structure of TbGaAgHg. The functional is PBE.

The structure in CIF format:
```
data_TbGaAgHg
_cell_length_a 4.9359
_cell_length_b 4.9359
_cell_length_c 4.9359
_cell_angle_alpha 60.00
_cell_angle_beta 60.00
_cell_angle_gamma 60.00
_symmetry_space_group_name_H-M 'P 1'
_symmetry_Int_Tables_number 1
loop_
_symmetry_equiv_pos_as_xyz
'x,y,z'
loop_
_atom_site_label
_atom_site_type_symbol
_atom_site_fract_x
_atom_site_fract_y
_atom_site_fract_z
Tb1 Tb 0.0000 0.0000 0.0000
Ga1 Ga 0.7500 0.7500 0.7500
Ag1 Ag 0.5000 0.5000 0.5000
Hg1 Hg 0.2500 0.2500 0.2500
```

Results
The calculation puts the formation enthalpy at 0 K at -334 meV per atom. The size of the total moment is 0.000 μB/atom. The value obtained for the density of states at the Fermi level is 0.82 states/eV/atom. For the uncorrected energy, the calculation gives -12.1 eV/f.u.

=====

(6)
This record from Alexandria via LeMat-Bulk describes an optimized crystal structure of TaNiSb2. The functional is PBE.

The structure in CIF format:
```
data_TaNiSb2
_cell_length_a 8.5744
_cell_length_b 8.5744
_cell_length_c 8.5744
_cell_angle_alpha 21.79
_cell_angle_beta 21.79
_cell_angle_gamma 21.79
_symmetry_space_group_name_H-M 'P 1'
_symmetry_Int_Tables_number 1
loop_
_symmetry_equiv_pos_as_xyz
'x,y,z'
loop_
_atom_site_label
_atom_site_type_symbol
_atom_site_fract_x
_atom_site_fract_y
_atom_site_fract_z
Ta1 Ta 0.0000 0.0000 0.0000
Ni1 Ni 0.5000 0.5000 0.5000
Sb1 Sb 0.2411 0.2411 0.2411
Sb2 Sb 0.7589 0.7589 0.7589
```

Results
Its raw formation energy is 0.1714 eV/atom. The size of the total moment is 0.000 μB/atom. The distance to the lowest polymorph of the same formula comes out at 242 meV per atom. The value obtained for the density of states at the Fermi level is 0.89 states/eV/atom. For the uncorrected energy, the calculation gives -25.2 eV/f.u.